No. 1
PBE Ba2MnNbS6, relaxed; final energy = -0.2232 hartree per atom; raw formation energy = -1.289 eV per atom; DOS(E_F) = 0.247 states/eV per atom
1.0
3.416 1.972 11.402
-3.416 1.972 11.402
0.000 -3.945 11.402
Ba Mn Nb S
4 2 2 12
Direct
0.119 0.119 0.119
0.295 0.295 0.295
0.705 0.705 0.705
0.881 0.881 0.881
0.418 0.418 0.418
0.582 0.582 0.582
0.000 0.000 0.000
0.500 0.500 0.500
0.124 0.621 0.621
0.211 0.211 0.702
0.211 0.702 0.211
0.298 0.789 0.789
0.379 0.379 0.876
0.379 0.876 0.379
0.621 0.124 0.621
0.621 0.621 0.124
0.702 0.211 0.211
0.789 0.298 0.789
0.789 0.789 0.298
0.876 0.379 0.379

No. 2
PBE BaMnNbS6, relaxed; final energy = -0.2192 hartree per atom; raw formation energy = -0.863 eV per atom; DOS(E_F) = 0.275 states/eV per atom
1.0
6.274 0.000 0.000
-3.137 5.434 0.000
0.000 0.000 6.662
Ba Mn Nb S
1 1 1 6
Direct
0.000 0.000 0.000
0.667 0.333 0.500
0.333 0.667 0.500
0.434 0.014 0.722
0.434 0.421 0.278
0.579 0.014 0.278
0.579 0.566 0.722
0.986 0.421 0.722
0.986 0.566 0.278